(1)
Here is a relaxed structure of CaTl2Pb from the Alexandria database. Energies are from PBE-GGA.

Lattice parameters (Å, degrees): 8.832 8.832 7.060 51.28 51.28 90.00
Fractional coordinates of all 8 atoms:
1 Pb 0.000 0.000 0.000
2 Pb 0.750 0.250 0.500
3 Tl 0.639 0.125 0.250
4 Tl 0.111 0.625 0.250
5 Tl 0.375 0.361 0.750
6 Tl 0.875 0.889 0.750
7 Ca 0.500 0.500 0.000
8 Ca 0.250 0.750 0.500

Computed properties:
The calculation puts the spin magnetization at 0.0 μB/f.u. For the energy relative to the elements, the calculation gives -0.113 eV/atom. As for the raw total energy: -21.8 eV for the cell shown. For the density of states at the Fermi level, the calculation gives 2.9 states/eV/f.u.

=====

(2)
Here is a relaxed structure of NaCa8Ni2 from the Alexandria database. Energies are from PBE-GGA.

Lattice parameters (Å, degrees): 6.606 7.159 8.939 113.60 82.28 90.00
Fractional coordinates of all 11 atoms:
1 Na 0.000 0.000 0.000
2 Ca 0.615 0.891 0.281
3 Ca 0.385 0.609 0.719
4 Ca 0.897 0.792 0.585
5 Ca 0.103 0.208 0.415
6 Ca 0.615 0.391 0.281
7 Ca 0.385 0.109 0.719
8 Ca 0.173 0.577 0.155
9 Ca 0.827 0.423 0.845
10 Ni 0.321 0.728 0.456
11 Ni 0.679 0.272 0.544

Computed properties:
The calculation puts the spin magnetization at 0.0 μB/f.u. For the energy relative to the elements, the calculation gives 0.004 eV/atom. As for the raw total energy: -28.9 eV for the cell shown. For the density of states at the Fermi level, the calculation gives 8.0 states/eV/f.u.

=====

(3)
Here is a relaxed structure of SrTl from the Alexandria database. Energies are from PBE-GGA.

Lattice parameters (Å, degrees): 9.961 9.961 9.961 90.00 90.00 90.00
Fractional coordinates of all 16 atoms:
1 Sr 0.199 0.199 0.199
2 Sr 0.199 0.801 0.801
3 Sr 0.801 0.199 0.801
4 Sr 0.801 0.801 0.199
5 Sr 0.699 0.699 0.699
6 Sr 0.699 0.301 0.301
7 Sr 0.301 0.699 0.301
8 Sr 0.301 0.301 0.699
9 Tl 0.386 0.386 0.386
10 Tl 0.386 0.614 0.614
11 Tl 0.614 0.386 0.614
12 Tl 0.614 0.614 0.386
13 Tl 0.886 0.886 0.886
14 Tl 0.886 0.114 0.114
15 Tl 0.114 0.886 0.114
16 Tl 0.114 0.114 0.886

Computed properties:
The calculation puts the spin magnetization at 0.0 μB/f.u. For the energy relative to the elements, the calculation gives 0.037 eV/atom. As for the raw total energy: -31.8 eV for the cell shown.

=====

(4)
Here is a relaxed structure of ZnMo2Se from the Alexandria database. Energies are from PBE-GGA.

Lattice parameters (Å, degrees): 4.571 2.993 5.031 72.78 90.00 90.00
Fractional coordinates of all 4 atoms:
1 Mo 0.000 0.042 0.038
2 Mo 0.500 0.435 0.257
3 Se 0.000 0.326 0.473
4 Zn 0.500 0.697 0.732

Computed properties:
The calculation puts the spin magnetization at 0.0 μB/f.u. As for the energy above the most stable polymorph in this dataset: 0.114 eV/atom. The calculation puts the uncorrected formation energy at 0.215 eV per atom. As for the raw total energy: -25.6 eV for the cell shown. For the density of states at the Fermi level, the calculation gives 1.8 states/eV/f.u.

=====

(5)
Here is a relaxed structure of TlO4F from the Alexandria database. Energies are from PBE-GGA.

Lattice parameters (Å, degrees): 4.605 6.561 4.770 91.89 89.99 110.55
Fractional coordinates of all 6 atoms:
1 Tl 0.000 0.000 0.000
2 O 0.338 0.676 0.891
3 O 0.662 0.324 0.109
4 O 0.259 0.518 0.720
5 O 0.741 0.482 0.280
6 F 0.000 0.000 0.500

Computed properties:
The calculation puts the spin magnetization at 3.7 μB/f.u. The calculation puts the uncorrected formation energy at -0.446 eV per atom. As for the raw total energy: -26.7 eV for the cell shown. For the density of states at the Fermi level, the calculation gives 1.8 states/eV/f.u.

=====

(6)
Here is a relaxed structure of HoMgGaNi from the Alexandria database. Energies are from PBE-GGA.

Lattice parameters (Å, degrees): 4.701 4.701 4.701 60.00 60.00 60.00
Fractional coordinates of all 4 atoms:
1 Ni 0.000 0.000 0.000
2 Mg 0.250 0.250 0.250
3 Ho 0.750 0.750 0.750
4 Ga 0.500 0.500 0.500

Computed properties:
The calculation puts the spin magnetization at 0.0 μB/f.u. For the energy relative to the elements, the calculation gives -0.369 eV/atom. As for the raw total energy: -16.5 eV for the cell shown. For the density of states at the Fermi level, the calculation gives 1.9 states/eV/f.u.

=====

(7)
Here is a relaxed structure of NbSbTe3 from the Alexandria database. Energies are from PBE-GGA.

Lattice parameters (Å, degrees): 5.414 5.414 5.414 90.00 90.00 90.00
Fractional coordinates of all 5 atoms:
1 Sb 0.500 0.500 0.500
2 Nb 0.000 0.000 0.000
3 Te 0.000 0.500 0.000
4 Te 0.000 0.000 0.500
5 Te 0.500 0.000 0.000

Computed properties:
The calculation puts the spin magnetization at 1.0 μB/f.u. As for the energy above the most stable polymorph in this dataset: 0.000 eV/atom. The calculation puts the uncorrected formation energy at 0.332 eV per atom. As for the raw total energy: -22.0 eV for the cell shown. For the density of states at the Fermi level, the calculation gives 6.4 states/eV/f.u.

=====

(8)
Here is a relaxed structure of Pr12InNi5 from the Alexandria database. Energies are from PBE-GGA.

Lattice parameters (Å, degrees): 8.706 8.706 8.706 106.64 112.13 109.70
Fractional coordinates of all 18 atoms:
1 Pr 0.517 0.819 0.699
2 Pr 0.483 0.181 0.301
3 Pr 0.880 0.181 0.699
4 Pr 0.120 0.819 0.301
5 Pr 0.692 0.677 0.370
6 Pr 0.308 0.323 0.630
7 Pr 0.308 0.677 0.985
8 Pr 0.692 0.323 0.015
9 Pr 0.812 0.606 0.795
10 Pr 0.188 0.394 0.205
11 Pr 0.188 0.983 0.795
12 Pr 0.812 0.017 0.205
13 In 0.000 0.500 0.500
14 Ni 0.630 0.630 0.000
15 Ni 0.370 0.370 0.000
16 Ni 0.500 0.123 0.623
17 Ni 0.500 0.877 0.377
18 Ni 0.000 0.000 0.000

Computed properties:
The calculation puts the spin magnetization at 0.0 μB/f.u. For the energy relative to the elements, the calculation gives -0.234 eV/atom. As for the raw total energy: -93.2 eV for the cell shown. For the density of states at the Fermi level, the calculation gives 16.7 states/eV/f.u.

=====

Number 1: calculated volume 32.10 Å³/atom. Number 2: calculated volume 34.83 Å³/atom. Number 3: calculated volume 61.77 Å³/atom. Number 4: calculated volume 16.44 Å³/atom. Number 5: calculated volume 22.48 Å³/atom. Number 6: calculated volume 18.36 Å³/atom. Number 7: calculated volume 31.74 Å³/atom. Number 8: calculated volume 28.16 Å³/atom.